1.
The following is a DFT calculation (PBE) of a relaxed GaAgTe2O8 crystal.

- Fermi-level density of states: 2.989 states/eV/f.u.
- Size of the total moment: 0.038 μB per atom
- Energy: -62.4 eV for the cell shown

Cell: 4.8884 4.8872 6.3791 Å, 90.00 90.00 84.25°
Each line ends with the local moment (μB).
Fractional positions:
1 Ga 0.0000 0.0000 0.0000  0.00
2 Ag 0.0000 0.0000 0.5000  0.23
3 Te 0.5000 0.5000 0.7538  0.00
4 Te 0.5000 0.5000 0.2462  0.00
5 O 0.2026 0.7969 0.2269  0.05
6 O 0.6863 0.6868 0.0000  0.01
7 O 0.7974 0.2031 0.2269  0.05
8 O 0.7974 0.2031 0.7731  0.05
9 O 0.3137 0.3132 0.0000  0.01
10 O 0.2026 0.7969 0.7731  0.05
11 O 0.6723 0.6727 0.5000  0.00
12 O 0.3277 0.3273 0.5000  0.00

=====

2.
The following is a DFT calculation (PBE) of a relaxed SbOs2Se crystal.

- Fermi-level density of states: 2.077 states/eV/f.u.
- Size of the total moment: 0.000 μB per atom
- Energy: -27.6 eV for the cell shown
- Energy above the lowest structure with this stoichiometry: 104.1 kJ/mol of formula units

Cell: 8.1774 8.1774 8.1774 Å, 22.03 22.03 22.03°
Fractional positions:
1 Os 0.0022 0.0022 0.0022
2 Os 0.4978 0.4978 0.4978
3 Sb 0.2500 0.2500 0.2500
4 Se 0.7500 0.7500 0.7500

=====

3.
The following is a DFT calculation (PBE) of a relaxed CdBRh3 crystal.

- Fermi-level density of states: 4.299 states/eV/f.u.
- Size of the total moment: 0.000 μB per atom
- ΔE_f: 8 meV/atom
- Energy: -118.4 eV for the cell shown
- Energy above the lowest structure with this stoichiometry: 105.6 kJ/mol of formula units

Cell: 5.1581 7.1025 8.1520 Å, 90.00 90.00 90.00°
Fractional positions:
1 B 0.5191 0.2500 0.5412
2 B 0.9809 0.7500 0.0412
3 B 0.4809 0.7500 0.4588
4 B 0.0191 0.2500 0.9588
5 Rh 0.0016 0.9345 0.8432
6 Rh 0.4984 0.4345 0.3432
7 Rh 0.4984 0.0655 0.3432
8 Rh 0.9984 0.4345 0.1568
9 Rh 0.9984 0.0655 0.1568
10 Rh 0.5016 0.5655 0.6568
11 Rh 0.5016 0.9345 0.6568
12 Rh 0.0016 0.5655 0.8432
13 Rh 0.2314 0.2500 0.7297
14 Rh 0.2686 0.7500 0.2297
15 Rh 0.7686 0.7500 0.2703
16 Rh 0.7314 0.2500 0.7703
17 Cd 0.0000 0.0000 0.5000
18 Cd 0.5000 0.5000 0.0000
19 Cd 0.5000 0.0000 0.0000
20 Cd 0.0000 0.5000 0.5000

=====

4.
The following is a DFT calculation (PBE) of a relaxed Er4Zr3Co2 crystal.

- Fermi-level density of states: 10.129 states/eV/f.u.
- Size of the total moment: 0.000 μB per atom
- ΔE_f: -133 meV/atom
- Energy: -59.3 eV for the cell shown

Cell: 3.4572 8.2604 8.4586 Å, 114.43 101.79 90.00°
Fractional positions:
1 Er 0.2310 0.6632 0.4620
2 Er 0.7690 0.3368 0.5380
3 Er 0.6125 0.8805 0.2249
4 Er 0.3875 0.1195 0.7751
5 Zr 0.0732 0.1945 0.1463
6 Zr 0.9268 0.8055 0.8537
7 Zr 0.0000 0.5000 0.0000
8 Co 0.3941 0.5600 0.7883
9 Co 0.6059 0.4400 0.2117

=====

5.
The following is a DFT calculation (PBE) of a relaxed LiH4W crystal.

- Fermi-level density of states: 1.952 states/eV/f.u.
- Size of the total moment: 0.000 μB per atom
- Energy: -112.4 eV for the cell shown

Cell: 2.9467 4.7481 11.8837 Å, 90.00 90.00 90.00°
Fractional positions:
1 Li 0.7500 0.7711 0.8068
2 Li 0.2500 0.2289 0.1932
3 Li 0.2500 0.7289 0.3068
4 Li 0.7500 0.2711 0.6932
5 H 0.7500 0.8810 0.6501
6 H 0.2500 0.1190 0.3499
7 H 0.2500 0.6190 0.1501
8 H 0.7500 0.3810 0.8499
9 H 0.7500 0.8453 0.4382
10 H 0.2500 0.1547 0.5618
11 H 0.2500 0.6547 0.9382
12 H 0.7500 0.3453 0.0618
13 H 0.7500 0.0106 0.9397
14 H 0.2500 0.9894 0.0603
15 H 0.2500 0.4894 0.4397
16 H 0.7500 0.5106 0.5603
17 H 0.7500 0.9309 0.1874
18 H 0.2500 0.0691 0.8126
19 H 0.2500 0.5691 0.6874
20 H 0.7500 0.4309 0.3126
21 W 0.7500 0.2250 0.4396
22 W 0.2500 0.7750 0.5604
23 W 0.2500 0.2750 0.9396
24 W 0.7500 0.7250 0.0604

=====

6.
The following is a DFT calculation (PBE) of a relaxed Ni9Sb2H crystal.

- Fermi-level density of states: 9.817 states/eV/f.u.
- Size of the total moment: 0.107 μB per atom
- Energy: -63.1 eV for the cell shown

Cell: 3.7201 3.7201 10.2678 Å, 90.00 90.00 90.00°
Each line ends with the local moment (μB).
Fractional positions:
1 Ni 0.5000 0.5000 0.0000  0.51
2 Ni 0.5000 0.5000 0.3233  0.00
3 Ni 0.5000 0.5000 0.6767  0.00
4 Ni 0.5000 0.0000 0.1378  0.24
5 Ni 0.5000 0.0000 0.5000  -0.04
6 Ni 0.5000 0.0000 0.8622  0.24
7 Ni 0.0000 0.5000 0.1378  0.24
8 Ni 0.0000 0.5000 0.5000  -0.04
9 Ni 0.0000 0.5000 0.8622  0.24
10 Sb 0.0000 0.0000 0.3140  -0.01
11 Sb 0.0000 0.0000 0.6860  -0.01
12 H 0.0000 0.0000 0.0000  0.00

=====

7.
The following is a DFT calculation (PBE) of a relaxed K2HoI5 crystal.

- Fermi-level density of states: 0.000 states/eV/f.u.
- Size of the total moment: 0.000 μB per atom
- Energy: -103.5 eV for the cell shown
- Energy above the lowest structure with this stoichiometry: 0.0 kJ/mol of formula units

Cell: 9.3049 9.7341 14.4671 Å, 90.00 90.00 90.00°
Fractional positions:
1 K 0.4200 0.5075 0.8295
2 K 0.5800 0.4925 0.1705
3 K 0.9200 0.4925 0.6705
4 K 0.5800 0.0075 0.1705
5 K 0.0800 0.5075 0.3295
6 K 0.4200 0.9925 0.8295
7 K 0.0800 0.9925 0.3295
8 K 0.9200 0.0075 0.6705
9 Ho 0.4220 0.2500 0.5057
10 Ho 0.5780 0.7500 0.4943
11 Ho 0.9220 0.7500 0.9943
12 Ho 0.0780 0.2500 0.0057
13 I 0.0809 0.2500 0.5107
14 I 0.9191 0.7500 0.4893
15 I 0.5809 0.7500 0.9893
16 I 0.4191 0.2500 0.0107
17 I 0.3302 0.9525 0.5639
18 I 0.6698 0.0475 0.4361
19 I 0.8302 0.0475 0.9361
20 I 0.6698 0.4525 0.4361
21 I 0.1698 0.9525 0.0639
22 I 0.3302 0.5475 0.5639
23 I 0.1698 0.5475 0.0639
24 I 0.8302 0.4525 0.9361
25 I 0.1444 0.2500 0.7990
26 I 0.8556 0.7500 0.2010
27 I 0.6444 0.7500 0.7010
28 I 0.3556 0.2500 0.2990
29 I 0.5991 0.2500 0.6862
30 I 0.4009 0.7500 0.3138
31 I 0.0991 0.7500 0.8138
32 I 0.9009 0.2500 0.1862

=====

8.
The following is a DFT calculation (PBE) of a relaxed TlTc3W crystal.

- Fermi-level density of states: 5.268 states/eV/f.u.
- Size of the total moment: 0.565 μB per atom
- ΔE_f: 1629 meV/atom
- Energy: -38.3 eV for the cell shown
- Energy above the lowest structure with this stoichiometry: 0.0 kJ/mol of formula units

Cell: 4.7659 4.7659 4.7659 Å, 90.00 90.00 90.00°
Each line ends with the local moment (μB).
Fractional positions:
1 Tl 0.5000 0.5000 0.5000  0.01
2 Tc 0.0000 0.5000 0.0000  0.90
3 Tc 0.0000 0.0000 0.5000  1.00
4 Tc 0.5000 0.0000 0.0000  0.86
5 W 0.0000 0.0000 0.0000  -0.17

=====

9.
The following is a DFT calculation (PBE) of a relaxed HfThCu4 crystal.

- Fermi-level density of states: 4.399 states/eV/f.u.
- Size of the total moment: 0.000 μB per atom
- ΔE_f: -183 meV/atom
- Energy: -34.9 eV for the cell shown
- Energy above the lowest structure with this stoichiometry: 0.0 kJ/mol of formula units

Cell: 4.3311 4.3311 6.4100 Å, 90.00 90.00 120.00°
Fractional positions:
1 Hf 0.0000 0.0000 0.0000
2 Th 0.0000 0.0000 0.5000
3 Cu 0.3333 0.6667 0.2071
4 Cu 0.3333 0.6667 0.7929
5 Cu 0.6667 0.3333 0.2071
6 Cu 0.6667 0.3333 0.7929

=====

10.
The following is a DFT calculation (PBE) of a relaxed Mn3Co20B6 crystal.

- Fermi-level density of states: 40.955 states/eV/f.u.
- Size of the total moment: 1.043 μB per atom
- ΔE_f: -163 meV/atom
- Energy: -214.4 eV for the cell shown

Cell: 7.3873 7.3873 7.3873 Å, 60.00 60.00 60.00°
Each line ends with the local moment (μB).
Fractional positions:
1 Mn 0.0000 0.0000 0.0000  3.10
2 Mn 0.7500 0.7500 0.7500  2.83
3 Mn 0.2500 0.2500 0.2500  2.83
4 Co 0.6185 0.6185 0.1446  0.78
5 Co 0.6185 0.1446 0.6185  0.78
6 Co 0.1446 0.6185 0.6185  0.78
7 Co 0.6185 0.6185 0.6185  0.78
8 Co 0.3815 0.3815 0.8554  0.78
9 Co 0.3815 0.8554 0.3815  0.78
10 Co 0.8554 0.3815 0.3815  0.78
11 Co 0.3815 0.3815 0.3815  0.78
12 Co 0.0000 0.0000 0.3422  1.33
13 Co 0.6578 0.0000 0.3422  1.33
14 Co 0.0000 0.6578 0.3422  1.33
15 Co 0.6578 0.3422 0.0000  1.33
16 Co 0.0000 0.3422 0.0000  1.33
17 Co 0.0000 0.3422 0.6578  1.33
18 Co 0.3422 0.6578 0.0000  1.33
19 Co 0.3422 0.0000 0.6578  1.33
20 Co 0.3422 0.0000 0.0000  1.33
21 Co 0.0000 0.0000 0.6578  1.33
22 Co 0.0000 0.6578 0.0000  1.33
23 Co 0.6578 0.0000 0.0000  1.33
24 B 0.7264 0.7264 0.2736  -0.09
25 B 0.2736 0.7264 0.2736  -0.09
26 B 0.7264 0.2736 0.2736  -0.09
27 B 0.2736 0.2736 0.7264  -0.09
28 B 0.7264 0.2736 0.7264  -0.09
29 B 0.2736 0.7264 0.7264  -0.09

=====

11.
The following is a DFT calculation (PBE) of a relaxed PaTaBi crystal.

- Fermi-level density of states: 5.375 states/eV/f.u.
- Size of the total moment: 0.127 μB per atom
- ΔE_f: 266 meV/atom
- Energy: -24.4 eV for the cell shown
- Energy above the lowest structure with this stoichiometry: 60.3 kJ/mol of formula units

Cell: 3.5257 3.5257 6.4313 Å, 105.91 105.91 90.00°
Each line ends with the local moment (μB).
Fractional positions:
1 Pa 0.6838 0.6838 0.3677  0.21
2 Bi 0.9781 0.9781 0.9562  -0.01
3 Ta 0.3381 0.3381 0.6762  0.09

=====

12.
The following is a DFT calculation (PBE) of a relaxed Pu2SnPt crystal.

- Fermi-level density of states: 11.093 states/eV/f.u.
- Size of the total moment: 2.783 μB per atom
- ΔE_f: -524 meV/atom
- Energy: -40.8 eV for the cell shown

Cell: 4.6179 4.3990 4.3990 Å, 90.00 90.00 90.00°
Each line ends with the local moment (μB).
Fractional positions:
1 Sn 0.5000 0.5000 0.5000  -0.10
2 Pt 0.5000 0.0000 0.0000  0.04
3 Pu 0.0000 0.0000 0.5000  5.40
4 Pu 0.0000 0.5000 0.0000  5.40

=====

13.
The following is a DFT calculation (PBE) of a relaxed Dy4ErTm5 crystal.

- Fermi-level density of states: 14.026 states/eV/f.u.
- Size of the total moment: 0.000 μB per atom
- ΔE_f: 312 meV/atom
- Energy: -42.2 eV for the cell shown
- Energy above the lowest structure with this stoichiometry: 246.2 kJ/mol of formula units

Cell: 6.2069 7.7823 7.7823 Å, 80.85 66.50 66.50°
Fractional positions:
1 Dy 0.4035 0.3936 0.7017
2 Dy 0.7971 0.7017 0.6064
3 Dy 0.1052 0.2983 0.3936
4 Dy 0.4988 0.6064 0.2983
5 Er 0.2200 0.0000 0.0000
6 Tm 0.8058 0.3762 0.9136
7 Tm 0.1820 0.9136 0.6238
8 Tm 0.7194 0.0864 0.3762
9 Tm 0.0956 0.6238 0.0864
10 Tm 0.6826 0.0000 0.0000

=====

14.
The following is a DFT calculation (PBE) of a relaxed SrRe2Cl crystal.

- Fermi-level density of states: 3.749 states/eV/f.u.
- Size of the total moment: 0.000 μB per atom
- Energy: -28.3 eV for the cell shown
- Energy above the lowest structure with this stoichiometry: 17.6 kJ/mol of formula units

Cell: 3.2248 3.2247 8.7297 Å, 90.00 90.00 90.00°
Fractional positions:
1 Cl 0.5000 0.5000 0.7093
2 Re 0.0000 0.0000 0.0783
3 Re 0.5000 0.5000 0.2112
4 Sr 0.0000 0.0000 0.5012

=====

15.
The following is a DFT calculation (PBE) of a relaxed Tb2HoMnSe6 crystal.

- Fermi-level density of states: 4.416 states/eV/f.u.
- Size of the total moment: 0.400 μB per atom
- Energy: -58.1 eV for the cell shown

Cell: 7.0475 7.0388 7.4976 Å, 61.91 61.96 60.08°
Each line ends with the local moment (μB).
Fractional positions:
1 Tb 0.5186 0.5189 0.4437  0.04
2 Tb 0.0162 0.0165 0.9500  0.02
3 Ho 0.8207 0.8205 0.5386  0.06
4 Mn 0.3236 0.3237 0.0294  3.80
5 Se 0.5836 0.2136 0.2505  -0.02
6 Se 0.2141 0.9529 0.2498  -0.02
7 Se 0.9525 0.5830 0.2509  -0.02
8 Se 0.4289 0.6951 0.7678  -0.03
9 Se 0.6953 0.1081 0.7672  -0.02
10 Se 0.1080 0.4294 0.7673  -0.02

=====

16.
The following is a DFT calculation (PBE) of a relaxed Ac2SmSi2 crystal.

- Fermi-level density of states: 3.794 states/eV/f.u.
- Size of the total moment: 0.000 μB per atom
- Energy: -53.0 eV for the cell shown
- Energy above the lowest structure with this stoichiometry: 0.0 kJ/mol of formula units

Cell: 4.5732 6.9098 10.4293 Å, 79.46 77.34 70.68°
Fractional positions:
1 Ac 0.3193 0.2693 0.0921
2 Ac 0.4851 0.3401 0.6898
3 Ac 0.6807 0.7307 0.9079
4 Ac 0.5149 0.6599 0.3102
5 Sm 0.7718 0.0852 0.3713
6 Sm 0.2282 0.9148 0.6287
7 Si 0.9979 0.1098 0.8945
8 Si 0.1073 0.3357 0.4497
9 Si 0.0021 0.8902 0.1055
10 Si 0.8927 0.6643 0.5503

=====

17.
The following is a DFT calculation (PBE) of a relaxed Ca2SnOsO crystal.

- Fermi-level density of states: 2.466 states/eV/f.u.
- Size of the total moment: 0.000 μB per atom
- Energy: -27.4 eV for the cell shown

Cell: 4.4725 4.8192 4.4725 Å, 90.00 90.00 90.00°
Fractional positions:
1 Ca 0.0000 0.0000 0.5000
2 Ca 0.5000 0.0000 0.0000
3 Os 0.5000 0.5000 0.5000
4 Sn 0.0000 0.5000 0.0000
5 O 0.0000 0.0000 0.0000

=====

18.
The following is a DFT calculation (PBE) of a relaxed RbSnP2Pd4 crystal.

- Fermi-level density of states: 4.977 states/eV/f.u.
- Size of the total moment: 0.000 μB per atom
- ΔE_f: -448 meV/atom
- Energy: -40.1 eV for the cell shown

Cell: 4.0129 4.0129 10.7450 Å, 90.00 90.00 90.00°
Fractional positions:
1 Rb 0.0000 0.0000 0.5000
2 Sn 0.0000 0.0000 0.0000
3 P 0.5000 0.5000 0.2986
4 P 0.5000 0.5000 0.7014
5 Pd 0.0000 0.5000 0.1814
6 Pd 0.5000 0.0000 0.8186
7 Pd 0.5000 0.0000 0.1814
8 Pd 0.0000 0.5000 0.8186

=====

19.
The following is a DFT calculation (PBE) of a relaxed Ba2ZrAs crystal.

- Fermi-level density of states: 5.172 states/eV/f.u.
- Size of the total moment: 0.997 μB per atom
- ΔE_f: 249 meV/atom
- Energy: -16.0 eV for the cell shown

Cell: 5.6206 5.6206 5.6206 Å, 60.00 60.00 60.00°
Each line ends with the local moment (μB).
Fractional positions:
1 As 0.5000 0.5000 0.5000  -0.06
2 Ba 0.0000 0.0000 0.0000  0.47
3 Ba 0.2500 0.2500 0.2500  0.22
4 Zr 0.7500 0.7500 0.7500  1.56

=====

20.
The following is a DFT calculation (PBE) of a relaxed HfS3 crystal.

- Fermi-level density of states: 3.275 states/eV/f.u.
- Size of the total moment: 0.000 μB per atom
- Energy: -22.3 eV for the cell shown

Cell: 4.0777 4.0777 4.0777 Å, 90.00 90.00 90.00°
Fractional positions:
1 S 0.5000 0.0000 0.5000
2 S 0.0000 0.5000 0.5000
3 S 0.5000 0.5000 0.0000
4 Hf 0.0000 0.0000 0.0000